Entry 1:
Density functional theory data (GGA-PBE) for crystalline Pr6Tl2Pb at its relaxed geometry.

Calculated values
* SG: No. 12
* electronic total energy: -0.15643 Ha/atom
* M_tot: 1.92 Bohr magnetons per cell
* energy of formation: -132.4 meV per atom

Lattice parameters (Å, degrees): 9.3394 9.3394 5.4115 106.79 106.79 48.09
Fractional positions:
Pr 0.0789 0.5845 0.3316
Pr 0.2465 0.7535 0.0000
Pr 0.4155 0.9211 0.6684
Pr 0.5845 0.0789 0.3316
Pr 0.7535 0.2465 0.0000
Pr 0.9211 0.4155 0.6684
Tl 0.1665 0.1665 0.1667
Tl 0.8335 0.8335 0.8333
Pb 0.5000 0.5000 0.5000

Entry 2:
Density functional theory data (GGA-PBE) for crystalline Pr7Tl2Pb2 at its relaxed geometry.

Calculated values
* SG: No. 65
* electronic total energy: -0.15618 Ha/atom
* M_tot: 0.00 Bohr magnetons per cell
* energy of formation: -103.9 meV per atom

Lattice parameters (Å, degrees): 7.2615 7.2615 7.8735 90.00 90.00 108.72
Fractional positions:
Pr 0.0000 0.0000 0.0000
Pr 0.0000 0.5000 0.2937
Pr 0.0000 0.5000 0.7063
Pr 0.5000 0.0000 0.2937
Pr 0.5000 0.0000 0.7063
Pr 0.5000 0.5000 0.2525
Pr 0.5000 0.5000 0.7475
Tl 0.2827 0.7173 0.0000
Tl 0.7173 0.2827 0.0000
Pb 0.1803 0.1803 0.5000
Pb 0.8197 0.8197 0.5000

Entry 3:
Density functional theory data (GGA-PBE) for crystalline Pr3TlPb2 at its relaxed geometry.

Calculated values
* SG: No. 15
* electronic total energy: -0.16420 Ha/atom
* M_tot: 0.00 Bohr magnetons per cell
* energy of formation: -448.0 meV per atom

Lattice parameters (Å, degrees): 9.4102 9.4102 6.5254 100.90 100.90 41.34
Fractional positions:
Pr 0.1324 0.8676 0.7500
Pr 0.2135 0.4459 0.3966
Pr 0.4459 0.2135 0.8966
Pr 0.5541 0.7865 0.1034
Pr 0.7865 0.5541 0.6034
Pr 0.8676 0.1324 0.2500
Tl 0.3740 0.6260 0.2500
Tl 0.6260 0.3740 0.7500
Pb 0.0506 0.2717 0.0669
Pb 0.2717 0.0506 0.5669
Pb 0.7283 0.9494 0.4331
Pb 0.9494 0.7283 0.9331

Entry 4:
Density functional theory data (GGA-PBE) for crystalline Pr2Tl8Pb at its relaxed geometry.

Calculated values
* SG: No. 123
* electronic total energy: -0.11372 Ha/atom
* M_tot: 0.00 Bohr magnetons per cell
* energy of formation: -167.4 meV per atom

Lattice parameters (Å, degrees): 4.8941 4.8941 14.0618 90.00 90.00 90.00
Fractional positions:
Pr 0.0000 0.0000 0.1699
Pr 0.0000 0.0000 0.8301
Tl 0.0000 0.5000 0.0000
Tl 0.0000 0.5000 0.3424
Tl 0.0000 0.5000 0.6576
Tl 0.5000 0.0000 0.0000
Tl 0.5000 0.0000 0.3424
Tl 0.5000 0.0000 0.6576
Tl 0.5000 0.5000 0.1711
Tl 0.5000 0.5000 0.8289
Pb 0.0000 0.0000 0.5000

Entry 5:
Density functional theory data (GGA-PBE) for crystalline Pr7Tl4Pb at its relaxed geometry.

Calculated values
* SG: No. 12
* electronic total energy: -0.15116 Ha/atom
* M_tot: 0.00 Bohr magnetons per cell
* energy of formation: -227.5 meV per atom

Lattice parameters (Å, degrees): 8.1335 8.1335 9.6378 115.91 115.91 44.15
Fractional positions:
Pr 0.0000 0.0000 0.0000
Pr 0.2523 0.2523 0.7168
Pr 0.3229 0.3229 0.1279
Pr 0.4272 0.4272 0.5978
Pr 0.5728 0.5728 0.4022
Pr 0.6771 0.6771 0.8721
Pr 0.7477 0.7477 0.2832
Tl 0.0341 0.0341 0.6850
Tl 0.1894 0.1894 0.3370
Tl 0.8106 0.8106 0.6630
Tl 0.9659 0.9659 0.3150
Pb 0.5000 0.5000 0.0000

Entry 6:
Density functional theory data (GGA-PBE) for crystalline Pr8TlPb2 at its relaxed geometry.

Calculated values
* SG: No. 12
* electronic total energy: -0.16936 Ha/atom
* M_tot: 0.01 Bohr magnetons per cell
* energy of formation: -243.3 meV per atom

Lattice parameters (Å, degrees): 10.4556 10.4556 7.1247 103.05 103.05 29.81
Fractional positions:
Pr 0.0148 0.0148 0.2637
Pr 0.2126 0.2126 0.8293
Pr 0.3410 0.3410 0.4934
Pr 0.4082 0.4082 0.0186
Pr 0.5918 0.5918 0.9814
Pr 0.6590 0.6590 0.5066
Pr 0.7874 0.7874 0.1707
Pr 0.9852 0.9852 0.7363
Tl 0.5000 0.5000 0.5000
Pb 0.1790 0.1790 0.2625
Pb 0.8210 0.8210 0.7375